{
  "formula": "Dy5ScAg6",
  "functional": "GGA-PBE",
  "state": "optimized geometry",
  "cell": [[5.1198, 0.0000, 0.0000], [0.0000, 7.1471, 0.0000], [-2.5470, 0.0000, 7.6814]],
  "species": ["Dy", "Dy", "Dy", "Dy", "Dy", "Sc", "Ag", "Ag", "Ag", "Ag", "Ag", "Ag"],
  "frac_coords": [[0.0000, 0.0000, 0.0000], [0.3317, 0.0000, 0.6635], [0.3346, 0.5000, 0.6691], [0.6654, 0.5000, 0.3309], [0.6683, 0.0000, 0.3365], [0.0000, 0.5000, 0.0000], [0.1621, 0.2567, 0.3241], [0.1621, 0.7433, 0.3241], [0.5000, 0.2581, 0.0000], [0.5000, 0.7419, 0.0000], [0.8379, 0.2567, 0.6759], [0.8379, 0.7433, 0.6759]],
  "magmom_total_mub_per_cell": 0.00,
  "e_form_ev_per_atom": -0.31,
  "energy_ev_per_atom": -4.178
}


{
  "formula": "Dy2ScAg",
  "functional": "GGA-PBE",
  "state": "optimized geometry",
  "cell": [[0.0000, 3.7192, 3.7192], [3.7192, 0.0000, 3.7192], [3.7192, 3.7192, 0.0000]],
  "species": ["Dy", "Dy", "Sc", "Ag"],
  "frac_coords": [[0.2500, 0.2500, 0.2500], [0.7500, 0.7500, 0.7500], [0.0000, 0.0000, 0.0000], [0.5000, 0.5000, 0.5000]],
  "polymorph_energy_ev_per_atom": 0.140,
  "magmom_total_mub_per_cell": 0.00,
  "e_form_ev_per_atom": 0.03,
  "energy_ev_per_atom": -4.569
}


{
  "formula": "Dy4ScAg5",
  "functional": "GGA-PBE",
  "state": "optimized geometry",
  "cell": [[3.5663, 0.0000, 0.0000], [0.0000, 3.5663, 0.0000], [0.0000, 0.0000, 18.2651]],
  "species": ["Dy", "Dy", "Dy", "Dy", "Sc", "Ag", "Ag", "Ag", "Ag", "Ag"],
  "frac_coords": [[0.0000, 0.0000, 0.1022], [0.0000, 0.0000, 0.3066], [0.0000, 0.0000, 0.6934], [0.0000, 0.0000, 0.8978], [0.0000, 0.0000, 0.5000], [0.5000, 0.5000, 0.0000], [0.5000, 0.5000, 0.2044], [0.5000, 0.5000, 0.4117], [0.5000, 0.5000, 0.5883], [0.5000, 0.5000, 0.7956]],
  "magmom_total_mub_per_cell": 0.00,
  "e_form_ev_per_atom": -0.31,
  "energy_ev_per_atom": -4.208
}


{
  "formula": "DyScAg",
  "functional": "GGA-PBE",
  "state": "optimized geometry",
  "cell": [[0.0000, 4.8884, 6.8690], [4.8671, 0.0000, 6.8690], [4.8671, 4.8884, 0.0000]],
  "species": ["Dy", "Dy", "Dy", "Dy", "Sc", "Sc", "Sc", "Sc", "Ag", "Ag", "Ag", "Ag"],
  "frac_coords": [[0.0040, 0.0040, 0.7460], [0.2540, 0.2540, 0.9960], [0.7460, 0.7460, 0.0040], [0.9960, 0.9960, 0.2540], [0.2533, 0.2533, 0.4967], [0.4967, 0.4967, 0.2533], [0.5033, 0.5033, 0.7467], [0.7467, 0.7467, 0.5033], [0.1312, 0.6188, 0.6188], [0.3812, 0.8688, 0.8688], [0.6188, 0.1312, 0.1312], [0.8688, 0.3812, 0.3812]],
  "polymorph_energy_ev_per_atom": 0.245,
  "magmom_total_mub_per_cell": 0.00,
  "e_form_ev_per_atom": 0.09,
  "energy_ev_per_atom": -4.502
}


{
  "formula": "Dy2ScAg",
  "functional": "GGA-PBE",
  "state": "optimized geometry",
  "cell": [[5.2968, 0.0000, 0.0000], [0.0000, 5.2968, 0.0000], [0.0000, 0.0000, 3.6516]],
  "species": ["Dy", "Dy", "Sc", "Ag"],
  "frac_coords": [[0.0000, 0.5000, 0.0000], [0.5000, 0.0000, 0.0000], [0.0000, 0.0000, 0.5000], [0.5000, 0.5000, 0.5000]],
  "polymorph_energy_ev_per_atom": 0.062,
  "magmom_total_mub_per_cell": 0.00,
  "e_form_ev_per_atom": -0.05,
  "energy_ev_per_atom": -4.647
}


{
  "formula": "DyScAg",
  "functional": "GGA-PBE",
  "state": "optimized geometry",
  "cell": [[5.5202, -2.5285, 0.0000], [5.5202, 2.5285, 0.0000], [-3.4243, 0.0000, 5.2015]],
  "species": ["Dy", "Dy", "Sc", "Sc", "Ag", "Ag"],
  "frac_coords": [[0.1680, 0.1680, 0.2618], [0.8320, 0.8320, 0.7382], [0.4470, 0.4470, 0.1926], [0.5530, 0.5530, 0.8074], [0.1497, 0.1497, 0.7234], [0.8503, 0.8503, 0.2766]],
  "polymorph_energy_ev_per_atom": 0.029,
  "magmom_total_mub_per_cell": 0.00,
  "e_form_ev_per_atom": -0.12,
  "energy_ev_per_atom": -4.717
}


{
  "formula": "Dy4ScAg",
  "functional": "GGA-PBE",
  "state": "optimized geometry",
  "cell": [[2.6257, -10.4712, 0.0000], [2.6257, 10.4712, 0.0000], [0.0000, 0.0000, 6.2939]],
  "species": ["Dy", "Dy", "Dy", "Dy", "Dy", "Dy", "Dy", "Dy", "Sc", "Sc", "Ag", "Ag"],
  "frac_coords": [[0.0334, 0.9666, 0.5000], [0.1731, 0.8269, 0.3190], [0.2421, 0.7579, 0.7998], [0.4310, 0.5690, 0.6595], [0.5690, 0.4310, 0.1595], [0.7579, 0.2421, 0.2998], [0.8269, 0.1731, 0.8190], [0.9666, 0.0334, 0.0000], [0.3655, 0.6345, 0.1537], [0.6345, 0.3655, 0.6537], [0.1051, 0.8949, 0.8998], [0.8949, 0.1051, 0.3998]],
  "polymorph_energy_ev_per_atom": 0.136,
  "magmom_total_mub_per_cell": 0.00,
  "e_form_ev_per_atom": 0.07,
  "energy_ev_per_atom": -4.530
}


{
  "formula": "DyScAg",
  "functional": "GGA-PBE",
  "state": "optimized geometry",
  "cell": [[-1.7402, 1.7402, 6.0272], [1.7402, -1.7402, 6.0272], [1.7402, 1.7402, -6.0272]],
  "species": ["Dy", "Sc", "Ag"],
  "frac_coords": [[0.0000, 0.0000, 0.0000], [0.3031, 0.3031, 0.0000], [0.6671, 0.6671, 0.0000]],
  "polymorph_energy_ev_per_atom": 0.000,
  "magmom_total_mub_per_cell": 0.98,
  "e_form_ev_per_atom": -0.15,
  "energy_ev_per_atom": -4.747
}